DFT (GGA-PBE) results for a relaxed structure of Tm6Sn2PbSe3.

The space group is C2/m (No. 12) and the conventional cell measures 18.414, 4.203 and 8.446 Å, with angles of 90.00, 104.64 and 90.00 degrees. The inequivalent atoms are Tm at (0.002, 0.000, 0.243), Tm at (0.166, 0.500, 0.085), Tm at (0.170, 0.500, 0.581), Sn at (0.166, 0.000, 0.832), Pb at (0.000, 0.500, 0.500), Se at (0.000, 0.500, 0.000) and Se at (0.167, 0.000, 0.332).

Its uncorrected formation energy is -1.108 eV per atom. The volume comes out at 316.2 Å³/f.u.